BaHg8 SCAN single point on PBEsol structure; uncorrected energy = -65.255 eV/atom; symmetry = I4/mmm, No. 139; total magnetic moment = 0.000 μB per formula unit
1.0
4.688 0.000 0.000
2.344 7.067 0.000
2.344 0.000 7.067
Hg Ba
8 1
Cartesian
4.688 0.000 4.553 Hg
4.688 2.424 2.424 Hg
2.344 4.644 2.424 Hg
2.344 2.424 4.644 Hg
2.344 2.514 0.000 Hg
2.344 0.000 2.514 Hg
4.688 4.553 0.000 Hg
4.688 4.644 4.644 Hg
0.000 0.000 0.000 Ba